This record from the Alexandria database describes crystalline Nd2Zn4Ga3Ag at its relaxed geometry. The functional is GGA-PBE.

Unit cell a=4.2879 b=4.2879 c=10.6784 alpha=90.00 beta=90.00 gamma=90.00
Space group P-4m2 (No. 115)
Inequivalent atoms, fractional coordinates:
Nd: 0.0000 0.5000 0.2447 (multiplicity 2)
Zn: 0.0000 0.0000 0.0000 (multiplicity 1)
Zn: 0.0000 0.5000 0.6366 (multiplicity 2)
Zn: 0.5000 0.5000 0.0000 (multiplicity 1)
Ga: 0.0000 0.5000 0.8657 (multiplicity 2)
Ga: 0.5000 0.5000 0.5000 (multiplicity 1)
Ag: 0.0000 0.0000 0.5000 (multiplicity 1)

Summary:
Total moment, μB per formula unit: 0.00
Formation energy, meV per atom: -418